#A
## Mg3GeMo (PBE)

Data for Mg3GeMo after structural relaxation.

Cell lengths 5.0049, 5.0049, 5.0049 Å; angles 90.00, 90.00, 90.00 degrees
Space group Pm-3m (No. 221)
Symmetry-distinct sites (fractional):
Mg  0.0000  0.0000  0.5000 x3
Ge  0.0000  0.0000  0.0000 x1
Mo  0.5000  0.5000  0.5000 x1

## Properties
Spin magnetization (μB/atom): 0.808



#B
## Mg3GeMo (PBE)

Data for Mg3GeMo after structural relaxation.

Cell lengths 5.1560, 5.1560, 5.1560 Å; angles 90.00, 90.00, 90.00 degrees
Space group Pm-3m (No. 221)
Symmetry-distinct sites (fractional):
Mg  0.0000  0.0000  0.5000 x3
Ge  0.5000  0.5000  0.5000 x1
Mo  0.0000  0.0000  0.0000 x1

## Properties
Spin magnetization (μB/atom): 0.350



Most stable one: #A, least stable one: #B.



#A
## Mg3GeN (PBE)

Data for Mg3GeN after structural relaxation.

Cell lengths 4.2784, 4.2784, 4.2784 Å; angles 90.00, 90.00, 90.00 degrees
Space group Pm-3m (No. 221)
Symmetry-distinct sites (fractional):
Mg  0.0000  0.0000  0.5000 x3
Ge  0.5000  0.5000  0.5000 x1
N  0.0000  0.0000  0.0000 x1

## Properties
Spin magnetization (μB/atom): 0.000



#B
## Mg3GeN (PBE)

Data for Mg3GeN after structural relaxation.

Cell lengths 4.9190, 4.9190, 4.9190 Å; angles 90.00, 90.00, 90.00 degrees
Space group Pm-3m (No. 221)
Symmetry-distinct sites (fractional):
Mg  0.0000  0.0000  0.5000 x3
Ge  0.0000  0.0000  0.0000 x1
N  0.5000  0.5000  0.5000 x1

## Properties
Spin magnetization (μB/atom): 0.200



Most stable one: #A, least stable one: #B.